[1]
VASP calculation (PBE) on a relaxed PuMnCu crystal.

Cell: 4.8712 5.4119 7.5038 Å, 90.00 90.00 90.00°
Space group Imma (No. 74)
Asymmetric unit:
1 Pu 0.0000 0.2500 0.1235 x4
2 Mn 0.0000 0.0000 0.5000 x4
3 Cu 0.2500 0.2500 0.7500 x4

Results
ΔE_f in eV/f.u.: -0.13
Energy in Ry/atom: -0.6792

***

[2]
VASP calculation (PBE) on a relaxed KV3I crystal.

Cell: 5.4236 5.4236 5.4236 Å, 90.00 90.00 90.00°
Space group Pm-3m (No. 221)
Asymmetric unit:
1 K 0.0000 0.0000 0.0000 x1
2 V 0.0000 0.5000 0.5000 x3
3 I 0.5000 0.5000 0.5000 x1

Results
ΔE_f (raw) in eV per atom: 1.58
Energy in Ry/atom: -0.3247

***

[3]
VASP calculation (PBE) on a relaxed LaPm2ScTe4 crystal.

Cell: 7.7002 4.3874 7.7030 Å, 90.00 108.95 90.00°
Space group P2/m (No. 10)
Asymmetric unit:
1 La 0.0000 0.0000 0.0000 x1
2 Pm 0.5000 0.0000 0.5000 x1
3 Pm 0.5000 0.5000 0.0000 x1
4 Sc 0.0000 0.5000 0.5000 x1
5 Te 0.2363 0.0000 0.7319 x2
6 Te 0.2468 0.5000 0.2628 x2

Results
ΔE_f (raw) in eV per atom: -1.35
Energy in Ry/atom: -0.4054

***

[4]
VASP calculation (PBE) on a relaxed IBr2Cl crystal.

Cell: 7.5448 7.5448 7.5448 Å, 90.00 90.00 90.00°
Space group Fm-3m (No. 225)
Asymmetric unit:
1 I 0.0000 0.0000 0.0000 x4
2 Br 0.2500 0.2500 0.2500 x8
3 Cl 0.0000 0.0000 0.5000 x4

Results
ΔE_f (raw) in eV per atom: 0.54
Energy in Ry/atom: -0.0841

***

[5]
VASP calculation (PBE) on a relaxed Nd8PtSe4S3 crystal.

Cell: 8.3284 8.3284 20.6637 Å, 90.00 90.00 120.00°
Space group R-3m (No. 166, hexagonal axes)
Asymmetric unit:
1 Nd 0.0000 0.0000 0.2438 x6
2 Nd 0.0005 0.5002 0.2451 x18
3 Pt 0.0000 0.0000 0.5000 x3
4 Se 0.0000 0.0000 0.0000 x3
5 Se 0.0000 0.5000 0.0000 x9
6 S 0.0000 0.5000 0.5000 x9

Results
ΔE_f (raw) in eV per atom: -1.83
Energy in Ry/atom: -0.4583

***

[6]
VASP calculation (PBE) on a relaxed K4As3 crystal.

Cell: 6.3092 6.3092 6.0244 Å, 90.00 90.00 120.00°
Space group P6/mmm (No. 191)
Asymmetric unit:
1 K 0.0000 0.0000 0.2374 x2
2 K 0.3333 0.6667 0.5000 x2
3 As 0.0000 0.5000 0.0000 x3

Results
ΔE_f in eV/f.u.: -0.47
Energy in Ry/atom: -0.1975

***

[7]
VASP calculation (PBE) on a relaxed MgCrSn2H crystal.

Cell: 4.7224 4.7224 3.6643 Å, 90.00 90.00 90.00°
Space group P4/mmm (No. 123)
Asymmetric unit:
1 Mg 0.0000 0.0000 0.0000 x1
2 Cr 0.5000 0.5000 0.0000 x1
3 Sn 0.0000 0.5000 0.5000 x2
4 H 0.0000 0.0000 0.5000 x1

Results
Energy in Ry/atom: -0.2964

***

[8]
VASP calculation (PBE) on a relaxed ZnNiAgS2 crystal.

Cell: 4.5088 4.5088 4.5151 Å, 90.00 90.00 90.00°
Space group P4/mmm (No. 123)
Asymmetric unit:
1 Zn 0.0000 0.0000 0.0000 x1
2 Ni 0.0000 0.0000 0.5000 x1
3 Ag 0.5000 0.5000 0.0000 x1
4 S 0.0000 0.5000 0.5000 x2

Results
ΔE_f (raw) in eV per atom: 0.29
Energy in Ry/atom: -0.2458

***

[9]
VASP calculation (PBE) on a relaxed Er2Mg3Cd2 crystal.

Cell: 8.8910 5.1205 8.0169 Å, 90.00 111.61 90.00°
Space group C2/m (No. 12)
Asymmetric unit:
1 Er 0.0792 0.0000 0.2348 x4
2 Mg 0.0000 0.5000 0.5000 x2
3 Mg 0.1513 0.5000 0.9551 x4
4 Cd 0.2142 0.0000 0.6470 x4

Results
ΔE_f in eV/f.u.: -1.25
Energy in Ry/atom: -0.1784

***

[10]
VASP calculation (PBE) on a relaxed Zr3SiS crystal.

Cell: 4.7657 4.7657 4.7657 Å, 90.00 90.00 90.00°
Space group Pm-3m (No. 221)
Asymmetric unit:
1 Zr 0.0000 0.0000 0.5000 x3
2 Si 0.5000 0.5000 0.5000 x1
3 S 0.0000 0.0000 0.0000 x1

Results
ΔE_f (raw) in eV per atom: -0.30
Energy in Ry/atom: -0.5391

***

Please write out number 5 again, unchanged.
VASP calculation (PBE) on a relaxed Nd8PtSe4S3 crystal.

Cell: 8.3284 8.3284 20.6637 Å, 90.00 90.00 120.00°
Space group R-3m (No. 166, hexagonal axes)
Asymmetric unit:
1 Nd 0.0000 0.0000 0.2438 x6
2 Nd 0.0005 0.5002 0.2451 x18
3 Pt 0.0000 0.0000 0.5000 x3
4 Se 0.0000 0.0000 0.0000 x3
5 Se 0.0000 0.5000 0.0000 x9
6 S 0.0000 0.5000 0.5000 x9

Results
ΔE_f (raw) in eV per atom: -1.83
Energy in Ry/atom: -0.4583